VASP calculation (PBE) on a geometry-optimized Sr2BeSb structure.

Cell lengths 5.5619, 5.5619, 5.5619 Å; angles 60.00, 60.00, 60.00 degrees
Fractional positions:
Sb 0.5000 0.5000 0.5000
Be 0.0000 0.0000 0.0000
Sr 0.2500 0.2500 0.2500
Sr 0.7500 0.7500 0.7500

* calculated total energy: -2.97 eV per atom
* DOS at the Fermi energy: 4.4 states/eV/cell
* E_form (uncorrected): -0.165 eV/atom
* crystal system: cubic

VASP calculation (PBE) on a geometry-optimized LuThCuOs structure.

Cell lengths 4.9239, 4.9239, 4.9239 Å; angles 60.00, 60.00, 60.00 degrees
Fractional positions:
Lu 0.7500 0.7500 0.7500
Os 0.0000 0.0000 0.0000
Cu 0.5000 0.5000 0.5000
Th 0.2500 0.2500 0.2500

* calculated total energy: -7.08 eV per atom
* DOS at the Fermi energy: 4.0 states/eV/cell
* crystal system: cubic

VASP calculation (PBE) on a geometry-optimized ErHg7 structure.

Cell lengths 4.5528, 4.5528, 10.0623 Å; angles 103.08, 103.08, 90.00 degrees
Fractional positions:
Er 0.0000 0.0000 0.0000
Hg 0.8774 0.3774 0.7548
Hg 0.7488 0.7488 0.4976
Hg 0.6226 0.1226 0.2452
Hg 0.5000 0.5000 0.0000
Hg 0.3774 0.8774 0.7548
Hg 0.2512 0.2512 0.5024
Hg 0.1226 0.6226 0.2452

* calculated total energy: -0.96 eV per atom
* DOS at the Fermi energy: 3.7 states/eV/cell
* crystal system: tetragonal

VASP calculation (PBE) on a geometry-optimized BaGaB2O structure.

Cell lengths 3.8840, 7.6668, 3.8840 Å; angles 90.00, 90.00, 90.00 degrees
Fractional positions:
O 0.5000 0.5000 0.5000
B 0.0000 0.0000 0.5000
B 0.5000 0.0000 0.0000
Ba 0.0000 0.5000 0.0000
Ga 0.0000 0.0000 0.0000

* calculated total energy: -4.19 eV per atom
* DOS at the Fermi energy: 4.5 states/eV/cell
* E_form (uncorrected): 0.462 eV/atom
* crystal system: tetragonal